Below is an optimized crystal structure of Sc6Zn5Sn, with properties calculated at the PBE level.

Formation enthalpy at 0 K: -0.420 eV/atom
Crystal system: orthorhombic
Total magnetization: 0.000 μB/f.u.
Uncorrected energy: -4.450 eV per atom

Cell: 7.5775 7.5775 6.7806 Å, 90.00 90.00 143.19°
Atoms (fractional coordinates):
1 Sc 0.0000 0.0000 0.2398
2 Sc 0.0000 0.0000 0.7602
3 Sc 0.3288 0.6712 0.2421
4 Sc 0.3288 0.6712 0.7579
5 Sc 0.6712 0.3288 0.2421
6 Sc 0.6712 0.3288 0.7579
7 Zn 0.1643 0.8357 0.0000
8 Zn 0.1726 0.8274 0.5000
9 Zn 0.5000 0.5000 0.0000
10 Zn 0.8274 0.1726 0.5000
11 Zn 0.8357 0.1643 0.0000
12 Sn 0.5000 0.5000 0.5000